# 1
{"formula": "LiHgP2", "functional": "GGA-PBE", "state": "optimized geometry", "lattice": [[7.653, 0.327, -0.049], [5.786, 5.020, 0.049], [-6.554, -3.087, 2.486]], "species": ["Hg", "Li", "P", "P"], "frac_coords": [[0.431, 0.431, 0.000], [0.749, 0.249, 0.500], [0.110, 0.110, 0.000], [0.210, 0.710, 0.500]], "formation_energy_mev_per_atom": -141, "vol_a3_per_cell": 91.1, "final_energy_ev_per_atom": -3.400}

# 2
{"formula": "LiHg2P", "functional": "GGA-PBE", "state": "optimized geometry", "lattice": [[5.104, 0.000, 0.000], [0.000, 3.253, -0.015], [0.000, -0.284, 4.917]], "species": ["Hg", "Hg", "Li", "P"], "frac_coords": [[0.000, 0.995, 0.003], [0.000, 0.505, 0.497], [0.500, 0.250, 0.250], [0.500, 0.750, 0.750]], "formation_energy_mev_per_atom": 57, "vol_a3_per_cell": 81.6, "final_energy_ev_per_atom": -1.924}

# 3
{"formula": "Li4HgP", "functional": "GGA-PBE", "state": "optimized geometry", "lattice": [[-0.280, -1.477, 4.970], [-3.540, 2.129, 3.146], [-4.038, -2.818, 1.648]], "species": ["Li", "Li", "Li", "Li", "Hg", "P"], "frac_coords": [[0.873, 0.376, 0.376], [0.376, 0.376, 0.873], [0.376, 0.873, 0.376], [0.376, 0.376, 0.376], [0.000, 0.000, 0.000], [0.750, 0.750, 0.750]], "formation_energy_mev_per_atom": -52, "vol_a3_per_cell": 99.0, "final_energy_ev_per_atom": -2.280}

# 4
{"formula": "LiHg2P2", "functional": "GGA-PBE", "state": "optimized geometry", "lattice": [[-2.314, -0.064, -3.447], [3.440, -0.312, -2.304], [0.224, -6.479, -2.530]], "species": ["P", "P", "Hg", "Hg", "Li"], "frac_coords": [[0.750, 0.250, 0.500], [0.250, 0.750, 0.500], [0.392, 0.392, 0.216], [0.608, 0.608, 0.784], [0.000, 0.000, 0.000]], "relative_energy_kcal_per_mol_atoms": 5.90, "formation_energy_mev_per_atom": 262, "vol_a3_per_cell": 108.8, "final_energy_ev_per_atom": -2.406}

# 5
{"formula": "LiHgP", "functional": "GGA-PBE", "state": "optimized geometry", "lattice": [[-0.382, -3.659, 2.167], [3.208, 2.678, 0.879], [-2.331, 1.883, 2.769]], "species": ["Hg", "Li", "P"], "frac_coords": [[0.000, 0.000, 0.880], [0.667, 0.333, 0.353], [0.333, 0.667, 0.767]], "formation_energy_mev_per_atom": -65, "vol_a3_per_cell": 64.4, "final_energy_ev_per_atom": -2.607}

# 6
{"formula": "Li2HgP2", "functional": "GGA-PBE", "state": "optimized geometry", "lattice": [[8.067, 0.000, 0.000], [0.000, 8.067, 0.000], [0.000, 0.000, 2.616]], "species": ["P", "P", "P", "P", "Hg", "Hg", "Li", "Li", "Li", "Li"], "frac_coords": [[0.165, 0.665, 0.500], [0.665, 0.835, 0.500], [0.835, 0.335, 0.500], [0.335, 0.165, 0.500], [0.000, 0.000, 0.000], [0.500, 0.500, 0.000], [0.370, 0.870, 0.000], [0.870, 0.630, 0.000], [0.630, 0.130, 0.000], [0.130, 0.370, 0.000]], "relative_energy_kcal_per_mol_atoms": 1.09, "formation_energy_mev_per_atom": -106, "vol_a3_per_cell": 170.2, "final_energy_ev_per_atom": -3.095}

# 7
{"formula": "LiHg2P", "functional": "GGA-PBE", "state": "optimized geometry", "lattice": [[-5.226, 6.170, -4.353], [-6.708, 3.464, -5.228], [-7.416, 4.844, -2.421]], "species": ["Hg", "Hg", "Li", "P"], "frac_coords": [[0.996, 0.996, 0.996], [0.504, 0.504, 0.504], [0.250, 0.250, 0.250], [0.750, 0.750, 0.750]], "formation_energy_mev_per_atom": 172, "vol_a3_per_cell": 80.1, "final_energy_ev_per_atom": -1.810}

# 8
{"formula": "LiHg2P", "functional": "GGA-PBE", "state": "optimized geometry", "lattice": [[-0.045, -2.005, 3.477], [-1.293, -2.423, -1.414], [6.108, -2.624, -1.435]], "species": ["Hg", "Hg", "Li", "P"], "frac_coords": [[0.000, 0.989, 0.964], [0.500, 0.004, 0.280], [0.000, 0.505, 0.587], [0.500, 0.002, 0.668]], "formation_energy_mev_per_atom": -43, "vol_a3_per_cell": 84.3, "final_energy_ev_per_atom": -2.024}